The following is a PBE calculation of a relaxed structure of HoScW, from the Open Quantum Materials Database.

a b c (Å): 6.6587 6.6587 6.6587
angles (deg): 90.00 90.00 90.00
With the nearest neighbours (Å) after each atom.
Space group F-43m (No. 216)
One atom of each set of equivalent atoms:
Ho1 0.0000 0.0000 0.0000 (multiplicity 4)  4 W 2.88
Sc1 0.0000 0.0000 0.5000 (multiplicity 4)  4 W 2.88
W1 0.2500 0.2500 0.2500 (multiplicity 4)  4 Ho 2.88, 4 Sc 2.88

Summary:
Formation energy from the elements in kcal/mol of atoms: 19.633
Polymorph energy (0 for the lowest one) in meV per atom: 0
Total DFT energy (no corrections) in Ha/atom: -0.2611
Total magnetic moment in μB per formula unit: 0.00